Entry 1:
8
Lattice="-2.145 0.373 2.285 -0.587 -1.949 -2.413 5.616 -10.302 6.953" Properties=species:S:1:pos:R:3 comment="Nb2GaC | the Open Quantum Materials Database | PBE | relaxed" e_tot_ev_per_atom=-8.6302 total_magnetization_mub_per_cell=0.00 pbc="T T T"
C 0.000 0.000 0.000
C 2.808 -5.151 3.477
Ga -0.222 -2.976 2.458
Ga 3.105 -8.901 4.368
Nb -0.602 -2.099 -0.223
Nb 1.197 -5.401 2.006
Nb 1.686 -6.477 4.820
Nb 3.486 -9.778 7.048

---

Entry 2:
10
Lattice="1.646 -5.411 0.000 1.646 5.411 0.000 0.000 0.000 8.481" Properties=species:S:1:pos:R:3 comment="Nb3GaC | the Open Quantum Materials Database | PBE | relaxed" e_tot_ev_per_atom=-8.9889 total_magnetization_mub_per_cell=0.00 pbc="T T T"
C 0.000 0.000 0.000
C 0.000 0.000 4.240
Ga 1.646 2.643 2.120
Ga 1.646 -2.643 6.360
Nb 1.646 -1.420 0.423
Nb 1.646 -4.880 2.120
Nb 1.646 -1.420 3.818
Nb 1.646 1.420 4.663
Nb 1.646 4.880 6.360
Nb 1.646 1.420 8.058

---

Entry 3:
8
Lattice="3.139 0.000 0.000 -1.570 2.719 0.000 0.000 0.000 13.269" Properties=species:S:1:pos:R:3 comment="Nb4GaNiC2 | the Open Quantum Materials Database | PBE | relaxed" e_tot_ev_per_atom=-8.8272 total_magnetization_mub_per_cell=0.02 pbc="T T T"
C 0.000 1.812 3.434
C 0.000 1.812 9.835
Ga 0.000 0.000 0.000
Nb 1.570 0.906 2.189
Nb 0.000 0.000 4.667
Nb 0.000 0.000 8.603
Nb 1.570 0.906 11.080
Ni 1.570 0.906 6.635

---

Entry 4:
8
Lattice="1.193 -9.131 6.427 4.005 -7.866 6.942 1.552 -6.976 8.662" Properties=species:S:1:pos:R:3 comment="NbGaCO | the Open Quantum Materials Database | PBE | relaxed" e_tot_ev_per_atom=-7.4610 total_magnetization_mub_per_cell=0.00 pbc="T T T"
C 2.551 -9.058 8.324
C 4.200 -14.915 13.707
Ga 1.777 -6.310 5.799
Ga 4.974 -17.662 16.232
Nb 0.000 0.000 0.000
Nb 3.375 -11.986 11.016
O 1.383 -4.911 4.513
O 5.368 -19.061 17.518

---

Entry 5:
8
Lattice="-0.007 -1.117 -3.046 2.256 -1.020 2.096 -7.487 -9.424 3.472" Properties=species:S:1:pos:R:3 comment="Nb4GaPC2 | the Open Quantum Materials Database | PBE | relaxed" e_tot_ev_per_atom=-9.0473 total_magnetization_mub_per_cell=0.00 pbc="T T T"
C -0.453 -3.513 1.289
C -4.030 -8.015 2.948
Ga 0.000 0.000 0.000
Nb -0.528 -2.690 -0.740
Nb -2.693 -3.390 1.249
Nb -4.794 -6.034 2.223
Nb -5.464 -8.903 1.549
P -2.996 -5.796 0.404

---

Entry 6:
8
Lattice="-2.359 -0.772 2.069 3.067 0.104 1.012 -1.535 13.450 3.270" Properties=species:S:1:pos:R:3 comment="Nb4GaPbC2 | the Open Quantum Materials Database | PBE | relaxed" e_tot_ev_per_atom=-8.5650 total_magnetization_mub_per_cell=0.01 pbc="T T T"
C 0.891 3.030 2.147
C 0.091 10.044 3.852
Ga 0.000 0.000 0.000
Nb -0.787 1.594 2.221
Nb -0.496 4.347 1.057
Nb -1.039 9.103 2.213
Nb -1.848 10.895 4.483
Pb -1.318 6.245 3.352

---

Entry 7:
24
Lattice="4.897 -2.830 0.000 4.897 2.830 0.000 -3.374 0.000 13.963" Properties=species:S:1:pos:R:3 comment="Sc4Nb2Ga3C3 | the Open Quantum Materials Database | PBE | relaxed" e_tot_ev_per_atom=-7.4643 total_magnetization_mub_per_cell=0.00 pbc="T T T"
C 2.448 -1.415 0.000
C 5.680 -1.358 0.000
C 4.114 1.358 0.000
C 3.993 1.358 6.982
C 0.762 1.415 6.982
C 2.427 -1.358 6.982
Ga 5.433 0.336 3.471
Ga 4.053 -2.052 3.491
Ga 2.674 0.336 3.510
Ga 3.746 -0.336 10.453
Ga 2.367 2.052 10.472
Ga 0.987 -0.336 10.492
Nb 4.042 -0.490 1.092
Nb 4.064 -0.490 5.889
Nb 2.355 0.490 8.074
Nb 2.378 0.490 12.871
Sc 7.378 -0.498 1.304
Sc 0.809 -0.429 1.304
Sc 7.298 -0.429 5.677
Sc 0.729 -0.498 5.678
Sc 5.691 0.498 8.285
Sc -0.878 0.429 8.286
Sc 5.611 0.429 12.659
Sc -0.958 0.498 12.659

---

Entry 8:
24
Lattice="4.801 -2.770 0.000 4.801 2.770 0.000 -3.257 0.000 13.836" Properties=species:S:1:pos:R:3 comment="Sc2Nb4Ga3C3 | the Open Quantum Materials Database | PBE | relaxed" e_tot_ev_per_atom=-8.0797 total_magnetization_mub_per_cell=0.06 pbc="T T T"
C 3.994 -1.397 0.000
C 2.401 1.385 0.000
C 5.609 1.397 0.000
C 2.365 1.397 6.918
C 0.772 -1.385 6.918
C 3.981 -1.397 6.918
Ga 1.945 -0.711 3.437
Ga 3.987 -2.713 3.459
Ga 6.029 -0.711 3.482
Ga 0.317 0.711 10.355
Ga 2.358 2.713 10.377
Ga 4.400 0.711 10.400
Nb 7.165 0.443 1.158
Nb 0.799 0.506 1.159
Nb 7.175 0.506 5.759
Nb 0.810 0.443 5.760
Nb 5.536 -0.443 8.076
Nb -0.830 -0.506 8.077
Nb 5.547 -0.506 12.677
Nb -0.819 -0.443 12.678
Sc 4.033 0.446 1.390
Sc 3.941 0.446 5.528
Sc 2.404 -0.446 8.308
Sc 2.313 -0.446 12.446

---

Number 8 is which compound? Sc2Nb4Ga3C3